Record 1
Entry from Alexandria via LeMat-Bulk: a relaxed structure of Tl2TeIO (PBEsol).

## Properties
total DFT energy (no corrections): -12.9 eV per cell
DOS at the Fermi energy: 1.365 states/eV per atom

Unit cell a=6.496 b=6.496 c=5.872 alpha=90.00 beta=90.00 gamma=90.00
Space group P4/mmm (No. 123)
One atom of each set of equivalent atoms:
Tl1 0.000 0.500 0.000 x2
Te1 0.000 0.000 0.000 x1
I1 0.000 0.000 0.500 x1
O1 0.500 0.500 0.500 x1


Record 2
Entry from Alexandria via LeMat-Bulk: a relaxed structure of YTeI2O (PBEsol).

## Properties
total DFT energy (no corrections): -24.0 eV per cell
DOS at the Fermi energy: 0.800 states/eV per atom

Unit cell a=6.085 b=6.085 c=4.075 alpha=90.00 beta=90.00 gamma=90.00
Space group P4/mmm (No. 123)
One atom of each set of equivalent atoms:
Y1 0.000 0.000 0.000 x1
Te1 0.500 0.500 0.500 x1
I1 0.000 0.500 0.000 x2
O1 0.000 0.000 0.500 x1


Record 3
Entry from Alexandria via LeMat-Bulk: a relaxed structure of YTe2IO (PBEsol).

## Properties
total DFT energy (no corrections): -23.8 eV per cell
DOS at the Fermi energy: 0.379 states/eV per atom

Unit cell a=4.514 b=4.514 c=5.912 alpha=90.00 beta=90.00 gamma=90.00
Space group P4/mmm (No. 123)
One atom of each set of equivalent atoms:
Y1 0.000 0.000 0.000 x1
Te1 0.000 0.500 0.500 x2
I1 0.500 0.500 0.000 x1
O1 0.500 0.500 0.500 x1


Record 4
Entry from Alexandria via LeMat-Bulk: a relaxed structure of TiTlIO2 (PBEsol).

## Properties
total DFT energy (no corrections): -29.2 eV per cell
DOS at the Fermi energy: 0.233 states/eV per atom

Unit cell a=4.088 b=4.088 c=5.529 alpha=90.00 beta=90.00 gamma=90.00
Space group P4/mmm (No. 123)
One atom of each set of equivalent atoms:
Ti1 0.000 0.000 0.000 x1
Tl1 0.500 0.500 0.500 x1
I1 0.000 0.000 0.500 x1
O1 0.000 0.500 0.000 x2


Record 5
Entry from Alexandria via LeMat-Bulk: a relaxed structure of TlI2O2 (PBEsol).

## Properties
total DFT energy (no corrections): -15.3 eV per cell
DOS at the Fermi energy: 0.598 states/eV per atom

Unit cell a=4.305 b=4.305 c=6.708 alpha=90.00 beta=90.00 gamma=90.00
Space group P4/mmm (No. 123)
One atom of each set of equivalent atoms:
Tl1 0.000 0.000 0.000 x1
I1 0.000 0.000 0.500 x1
I2 0.500 0.500 0.500 x1
O1 0.000 0.500 0.000 x2


Record 6
Entry from Alexandria via LeMat-Bulk: a relaxed structure of TlV2I3O13 (PBEsol).

## Properties
total DFT energy (no corrections): -465.8 eV per cell

Unit cell a=13.795 b=10.188 c=7.796 alpha=90.00 beta=90.00 gamma=90.00
Space group Ima2 (No. 46)
One atom of each set of equivalent atoms:
Tl1 0.250 0.108 0.000 x4
V1 0.129 0.018 0.462 x8
I1 0.008 0.248 0.726 x8
I2 0.250 0.733 0.213 x4
O1 0.000 0.000 0.513 x4
O2 0.028 0.160 0.926 x8
O3 0.099 0.651 0.786 x8
O4 0.100 0.117 0.260 x8
O5 0.149 0.623 0.131 x8
O6 0.152 0.140 0.593 x8
O7 0.250 0.516 0.879 x4
O8 0.250 0.661 0.427 x4


Record 7
Entry from Alexandria via LeMat-Bulk: a relaxed structure of Tl2WIO (PBEsol).

## Properties
total DFT energy (no corrections): -16.5 eV per cell
DOS at the Fermi energy: 1.162 states/eV per atom

Unit cell a=6.342 b=6.342 c=5.009 alpha=90.00 beta=90.00 gamma=90.00
Space group P4/mmm (No. 123)
One atom of each set of equivalent atoms:
Tl1 0.000 0.500 0.000 x2
W1 0.000 0.000 0.500 x1
I1 0.000 0.000 0.000 x1
O1 0.500 0.500 0.500 x1


Record 8
Entry from Alexandria via LeMat-Bulk: a relaxed structure of TmI3O9 (PBEsol).

## Properties
total DFT energy (no corrections): -283.4 eV per cell
DOS at the Fermi energy: 0.000 states/eV per atom

Unit cell a=6.992 b=8.255 c=13.102 alpha=90.00 beta=100.21 gamma=90.00
Space group P2_1/c (No. 14)
One atom of each set of equivalent atoms:
Tm1 0.174 0.240 0.146 x4
I1 0.167 0.712 0.114 x4
I2 0.270 0.017 0.887 x4
I3 0.334 0.540 0.860 x4
O1 0.011 0.520 0.383 x4
O2 0.035 0.170 0.491 x4
O3 0.150 0.700 0.824 x4
O4 0.155 0.522 0.185 x4
O5 0.231 0.218 0.824 x4
O6 0.320 0.068 0.024 x4
O7 0.350 0.028 0.229 x4
O8 0.370 0.663 0.047 x4
O9 0.463 0.177 0.630 x4


Record 9
Entry from Alexandria via LeMat-Bulk: a relaxed structure of VZn2IO7 (PBEsol).

## Properties
total DFT energy (no corrections): -133.6 eV per cell
DOS at the Fermi energy: 0.000 states/eV per atom

Unit cell a=5.259 b=10.003 c=5.481 alpha=90.00 beta=101.36 gamma=90.00
Space group Pc (No. 7)
One atom of each set of equivalent atoms:
V1 0.000 0.143 0.000 x2
Zn1 0.138 0.365 0.530 x2
Zn2 0.501 0.063 0.479 x2
I1 0.564 0.372 0.205 x2
O1 0.125 0.249 0.820 x2
O2 0.242 0.034 0.137 x2
O3 0.298 0.486 0.267 x2
O4 0.454 0.258 0.435 x2
O5 0.728 0.062 0.831 x2
O6 0.797 0.463 0.443 x2
O7 0.901 0.237 0.236 x2


Record 10
Entry from Alexandria via LeMat-Bulk: a relaxed structure of WI3O (PBEsol).

## Properties
total DFT energy (no corrections): -19.4 eV per cell
DOS at the Fermi energy: 1.589 states/eV per atom

Unit cell a=5.353 b=5.353 c=5.353 alpha=90.00 beta=90.00 gamma=90.00
Space group Pm-3m (No. 221)
One atom of each set of equivalent atoms:
W1 0.000 0.000 0.000 x1
I1 0.000 0.000 0.500 x3
O1 0.500 0.500 0.500 x1


Record 11
Entry from Alexandria via LeMat-Bulk: a relaxed structure of W3IO (PBEsol).

## Properties
total DFT energy (no corrections): -30.5 eV per cell
DOS at the Fermi energy: 1.015 states/eV per atom

Unit cell a=4.829 b=4.829 c=4.829 alpha=90.00 beta=90.00 gamma=90.00
Space group Pm-3m (No. 221)
One atom of each set of equivalent atoms:
W1 0.000 0.000 0.500 x3
I1 0.000 0.000 0.000 x1
O1 0.500 0.500 0.500 x1


Record 12
Entry from Alexandria via LeMat-Bulk: a relaxed structure of YIO (PBEsol).

## Properties
total DFT energy (no corrections): -44.3 eV per cell
DOS at the Fermi energy: 0.000 states/eV per atom

Unit cell a=3.894 b=3.894 c=9.265 alpha=90.00 beta=90.00 gamma=90.00
Space group P4/nmm (No. 129, origin choice 2)
One atom of each set of equivalent atoms:
Y1 0.250 0.250 0.117 x2
I1 0.250 0.250 0.680 x2
O1 0.250 0.750 0.000 x2


Record 13
Entry from Alexandria via LeMat-Bulk: a relaxed structure of Y3IO (PBEsol).

## Properties
total DFT energy (no corrections): -33.1 eV per cell
DOS at the Fermi energy: 1.102 states/eV per atom

Unit cell a=4.763 b=4.763 c=4.763 alpha=90.00 beta=90.00 gamma=90.00
Space group Pm-3m (No. 221)
One atom of each set of equivalent atoms:
Y1 0.000 0.000 0.500 x3
I1 0.500 0.500 0.500 x1
O1 0.000 0.000 0.000 x1


Record 14
Entry from Alexandria via LeMat-Bulk: a relaxed structure of YIO (PBEsol).

## Properties
total DFT energy (no corrections): -131.8 eV per cell
DOS at the Fermi energy: 0.000 states/eV per atom

Unit cell a=3.8693 b=3.8693 c=32.1559 alpha=90.00 beta=90.00 gamma=120.00
Space group R-3m (No. 166, hexagonal axes)
One atom of each set of equivalent atoms:
Y1 0.0000 0.0000 0.2099 x6
I1 0.0000 0.0000 0.3896 x6
O1 0.0000 0.0000 0.1402 x6


Record 15
Entry from Alexandria via LeMat-Bulk: a relaxed structure of YI3O9 (PBEsol).

## Properties
total DFT energy (no corrections): -288.8 eV per cell
DOS at the Fermi energy: 0.000 states/eV per atom

Unit cell a=8.494 b=5.676 c=18.183 alpha=90.00 beta=92.53 gamma=90.00
Space group P2_1/c (No. 14)
One atom of each set of equivalent atoms:
Y1 0.051 0.229 0.423 x4
I1 0.196 0.188 0.124 x4
I2 0.342 0.653 0.977 x4
I3 0.417 0.117 0.833 x4
O1 0.053 0.080 0.641 x4
O2 0.099 0.564 0.665 x4
O3 0.132 0.090 0.031 x4
O4 0.136 0.602 0.003 x4
O5 0.243 0.000 0.880 x4
O6 0.296 0.045 0.399 x4
O7 0.405 0.082 0.546 x4
O8 0.433 0.590 0.591 x4
O9 0.474 0.646 0.285 x4


Record 16
Entry from Alexandria via LeMat-Bulk: a relaxed structure of Y2IO2 (PBEsol).

## Properties
total DFT energy (no corrections): -79.9 eV per cell
DOS at the Fermi energy: 0.226 states/eV per atom

Unit cell a=4.009 b=4.009 c=11.733 alpha=90.00 beta=90.00 gamma=90.00
Space group I4/mmm (No. 139)
One atom of each set of equivalent atoms:
Y1 0.000 0.000 0.164 x4
I1 0.000 0.000 0.500 x2
O1 0.000 0.500 0.250 x4


Record 17
Entry from Alexandria via LeMat-Bulk: a relaxed structure of YZrIO2 (PBEsol).

## Properties
total DFT energy (no corrections): -36.2 eV per cell
DOS at the Fermi energy: 0.707 states/eV per atom

Unit cell a=4.143 b=4.143 c=5.785 alpha=90.00 beta=90.00 gamma=90.00
Space group P4/mmm (No. 123)
One atom of each set of equivalent atoms:
Y1 0.000 0.000 0.000 x1
Zr1 0.500 0.500 0.500 x1
I1 0.500 0.500 0.000 x1
O1 0.000 0.500 0.500 x2


Record 18
Entry from Alexandria via LeMat-Bulk: a relaxed structure of ZnI2O2 (PBEsol).

## Properties
total DFT energy (no corrections): -12.6 eV per cell
DOS at the Fermi energy: 0.562 states/eV per atom

Unit cell a=4.767 b=4.767 c=3.908 alpha=90.00 beta=90.00 gamma=90.00
Space group P4/mmm (No. 123)
One atom of each set of equivalent atoms:
Zn1 0.000 0.000 0.000 x1
I1 0.000 0.500 0.500 x2
O1 0.500 0.500 0.000 x1
O2 0.500 0.500 0.500 x1


Record 19
Entry from Alexandria via LeMat-Bulk: a relaxed structure of ZrI4O12 (PBEsol).

## Properties
total DFT energy (no corrections): -188.8 eV per cell
DOS at the Fermi energy: 0.000 states/eV per atom

Unit cell a=8.343 b=8.343 c=7.311 alpha=90.00 beta=90.00 gamma=90.00
Space group P4/n (No. 85, origin choice 2)
One atom of each set of equivalent atoms:
Zr1 0.250 0.250 0.053 x2
I1 0.002 0.968 0.274 x8
O1 0.001 0.650 0.453 x8
O2 0.042 0.179 0.220 x8
O3 0.044 0.337 0.900 x8